--- w ---
ZrAlP2Cl: optimized geometry, PBE.

Unit cell a=4.6947 b=4.6947 c=4.4614 alpha=90.00 beta=90.00 gamma=90.00
Closest atoms and distances in Å follow each position.
Space group P4/mmm (No. 123)
Asymmetric unit:
Zr 0.0000 0.0000 0.0000 x1  8 P 3.24, 4 Cl 3.32
Al 0.5000 0.5000 0.5000 x1  2 Cl 2.23, 4 P 2.35
P 0.0000 0.5000 0.5000 x2  2 Al 2.35
Cl 0.5000 0.5000 0.0000 x1  2 Al 2.23

Values from the calculation:
Crystal system ... tetragonal
M_tot ... 0.0 μB per formula unit



--- x ---
ZrAlP2Cl: optimized geometry, PBE.

Unit cell a=5.0631 b=5.0631 c=5.0575 alpha=90.00 beta=90.00 gamma=90.00
Closest atoms and distances in Å follow each position.
Space group P4/mmm (No. 123)
Asymmetric unit:
Zr 0.0000 0.0000 0.0000 x1  2 Cl 2.53, 4 P 2.53
Al 0.5000 0.5000 0.5000 x1  8 P 3.58, 4 Cl 3.58
P 0.0000 0.5000 0.0000 x2  2 Zr 2.53
Cl 0.0000 0.0000 0.5000 x1  2 Zr 2.53

Values from the calculation:
Crystal system ... tetragonal
M_tot ... 0.0 μB per formula unit



Which one sits at the top of the stability order? x does.



--- w ---
AlPd2Cl: optimized geometry, PBE.

Unit cell a=6.3453 b=6.3453 c=6.3453 alpha=90.00 beta=90.00 gamma=90.00
Closest atoms and distances in Å follow each position.
Space group Fm-3m (No. 225)
Asymmetric unit:
Al 0.0000 0.0000 0.0000 x4  8 Pd 2.75
Pd 0.2500 0.2500 0.2500 x8  4 Cl 2.75, 4 Al 2.75
Cl 0.0000 0.0000 0.5000 x4  8 Pd 2.75

Values from the calculation:
Crystal system ... cubic
M_tot ... 0.0 μB per formula unit



--- x ---
AlPd2Cl: optimized geometry, PBE.

Unit cell a=5.6581 b=5.6581 c=11.2738 alpha=90.00 beta=90.00 gamma=90.00
Closest atoms and distances in Å follow each position.
Space group I-42d (No. 122)
Asymmetric unit:
Al 0.0000 0.0000 0.0000 x4  4 Pd 2.39
Pd 0.2320 0.2500 0.1250 x8  2 Al 2.39, 2 Cl 2.51
Cl 0.0000 0.0000 0.5000 x4  4 Pd 2.51

Values from the calculation:
Crystal system ... tetragonal
M_tot ... 0.0 μB per formula unit



Which one sits at the top of the stability order? w does.



--- w ---
AlPdCl2: optimized geometry, PBE.

Unit cell a=4.5322 b=4.5322 c=15.8727 alpha=90.00 beta=90.00 gamma=90.00
Closest atoms and distances in Å follow each position.
Space group I-42d (No. 122)
Asymmetric unit:
Al 0.0000 0.0000 0.0000 x4  4 Cl 2.53
Pd 0.0000 0.0000 0.5000 x4  4 Cl 2.57
Cl 0.2390 0.2500 0.1250 x8  2 Al 2.53, 2 Pd 2.57

Values from the calculation:
Crystal system ... tetragonal
M_tot ... 0.0 μB per formula unit



--- x ---
AlPdCl2: optimized geometry, PBE.

Unit cell a=3.2832 b=3.2832 c=25.3632 alpha=90.00 beta=90.00 gamma=120.00
Closest atoms and distances in Å follow each position.
Space group R-3m (No. 166, hexagonal axes)
Asymmetric unit:
Al 0.0000 0.0000 0.0000 x3  6 Cl 2.67
Pd 0.0000 0.0000 0.5000 x3  2 Cl 2.35
Cl 0.0000 0.0000 0.4074 x6  1 Pd 2.35

Values from the calculation:
Crystal system ... trigonal
M_tot ... 0.0 μB per formula unit



Which one sits at the top of the stability order? w does.